1.
Crystalline PuCuPd at its relaxed geometry. Source: OQMD via LeMat-Bulk, functional PBE.

The calculation puts the formation enthalpy at 0 K at -0.046 eV per atom. The calculation puts the raw total energy at -92.63 eV for the cell shown.

It has space group F-43m (No. 216), with a = 6.3285 Å, b = 6.3285 Å, c = 6.3285 Å, α = 90.00°, β = 90.00° and γ = 90.00°. The distinct sites, in fractional coordinates, are Pu at (0.0000, 0.0000, 0.0000), Cu at (0.2500, 0.2500, 0.7500) and Pd at (0.0000, 0.0000, 0.5000).

2.
Crystalline LaPr2Mg3Ir3 at its relaxed geometry. Source: OQMD via LeMat-Bulk, functional PBE.

The calculation puts the raw total energy at -102.10 eV for the cell shown.

It has space group Amm2 (No. 38), with a = 4.1814 Å, b = 12.8864 Å, c = 7.4981 Å, α = 90.00°, β = 90.00° and γ = 90.00°. The distinct sites, in fractional coordinates, are La at (0.0000, 0.0000, 0.0000), Pr at (0.0000, 0.2062, 0.6199), Mg at (0.5000, 0.0000, 0.6509), Mg at (0.5000, 0.1202, 0.2957), Ir at (0.0000, 0.0000, 0.4156) and Ir at (0.5000, 0.1651, 0.9164).

3.
Crystalline FeNi3B2 at its relaxed geometry. Source: OQMD via LeMat-Bulk, functional PBE.

The calculation puts the raw total energy at -159.49 eV for the cell shown.

It has space group Fmm2 (No. 42), with a = 4.2108 Å, b = 7.1224 Å, c = 7.0882 Å, α = 90.00°, β = 90.00° and γ = 90.00°. The distinct sites, in fractional coordinates, are Fe at (0.0000, 0.0000, 0.0000), Ni at (0.0000, 0.0000, 0.6671), Ni at (0.0000, 0.1674, 0.3334) and B at (0.2500, 0.2500, 0.0830).

4.
Crystalline TbCoPd at its relaxed geometry. Source: OQMD via LeMat-Bulk, functional PBE.

The calculation puts the formation enthalpy at 0 K at -0.016 eV per atom. The calculation puts the raw total energy at -67.84 eV for the cell shown.

It has space group F-43m (No. 216), with a = 6.3440 Å, b = 6.3440 Å, c = 6.3440 Å, α = 90.00°, β = 90.00° and γ = 90.00°. The distinct sites, in fractional coordinates, are Tb at (0.0000, 0.0000, 0.0000), Co at (0.0000, 0.0000, 0.5000) and Pd at (0.2500, 0.2500, 0.2500).

5.
Crystalline LiTaCuAs at its relaxed geometry. Source: OQMD via LeMat-Bulk, functional PBE.

Its polymorph energy (0 for the lowest one) is 0 meV per atom. The calculation puts the raw total energy at -84.37 eV for the cell shown.

It has space group F-43m (No. 216), with a = 6.1528 Å, b = 6.1528 Å, c = 6.1528 Å, α = 90.00°, β = 90.00° and γ = 90.00°. The distinct sites, in fractional coordinates, are Li at (0.0000, 0.0000, 0.0000), Ta at (0.2500, 0.2500, 0.2500), Cu at (0.2500, 0.2500, 0.7500) and As at (0.0000, 0.0000, 0.5000).

6.
Crystalline NbAl3N at its relaxed geometry. Source: OQMD via LeMat-Bulk, functional PBE.

The calculation puts the raw total energy at -29.85 eV for the cell shown.

It has space group Pm-3m (No. 221), with a = 4.0806 Å, b = 4.0806 Å, c = 4.0806 Å, α = 90.00°, β = 90.00° and γ = 90.00°. The distinct sites, in fractional coordinates, are Nb at (0.0000, 0.0000, 0.0000), Al at (0.0000, 0.5000, 0.5000) and N at (0.5000, 0.5000, 0.5000).

7.
Crystalline AlGaHgTe2S2 at its relaxed geometry. Source: OQMD via LeMat-Bulk, functional PBE.

The calculation puts the raw total energy at -50.09 eV for the cell shown.

It has space group C2 (No. 5), with a = 8.2925 Å, b = 10.9665 Å, c = 5.9110 Å, α = 90.00°, β = 132.11° and γ = 90.00°. The distinct sites, in fractional coordinates, are Al at (0.0000, 0.0000, 0.0000), Ga at (0.0000, 0.2203, 0.5000), Hg at (0.0000, 0.7330, 0.5000), Te at (0.2136, 0.3737, 0.9674) and S at (0.2084, 0.0960, 0.4608).

8.
Crystalline Dy2Hf2Os at its relaxed geometry. Source: OQMD via LeMat-Bulk, functional PBE.

The calculation puts the formation enthalpy at 0 K at -0.126 eV per atom. The calculation puts the raw total energy at -163.89 eV for the cell shown.

It has space group Ibam (No. 72), with a = 6.2662 Å, b = 13.6432 Å, c = 5.7627 Å, α = 90.00°, β = 90.00° and γ = 90.00°. The distinct sites, in fractional coordinates, are Dy at (0.1653, 0.1756, 0.0000), Hf at (0.1740, 0.4292, 0.0000) and Os at (0.0000, 0.0000, 0.2500).

9.
Crystalline TbDyCl2O2 at its relaxed geometry. Source: OQMD via LeMat-Bulk, functional PBE.

The calculation puts the raw total energy at -41.31 eV for the cell shown.

It has space group P4mm (No. 99), with a = 3.8902 Å, b = 3.8902 Å, c = 6.7196 Å, α = 90.00°, β = 90.00° and γ = 90.00°. The distinct sites, in fractional coordinates, are Tb at (0.0000, 0.0000, 0.0000), Dy at (0.5000, 0.5000, 0.3381), Cl at (0.0000, 0.0000, 0.5424), Cl at (0.5000, 0.5000, 0.7985) and O at (0.0000, 0.5000, 0.1713).

10.
Crystalline HfCu2TeS2 at its relaxed geometry. Source: OQMD via LeMat-Bulk, functional PBE.

Its polymorph energy (0 for the lowest one) is 37 meV per atom. The calculation puts the raw total energy at -132.21 eV for the cell shown.

It has space group C2/m (No. 12), with a = 19.1866 Å, b = 3.8380 Å, c = 6.8869 Å, α = 90.00°, β = 98.66° and γ = 90.00°. The distinct sites, in fractional coordinates, are Hf at (0.1590, 0.0000, 0.0583), Cu at (0.0506, 0.5000, 0.1561), Cu at (0.2016, 0.0000, 0.4890), Te at (0.0830, 0.5000, 0.7972), S at (0.0914, 0.0000, 0.3283) and S at (0.2447, 0.5000, 0.2041).

11.
Crystalline In2FeTeSe3 at its relaxed geometry. Source: OQMD via LeMat-Bulk, functional PBE.

The calculation puts the raw total energy at -29.77 eV for the cell shown.

It has space group P1 (No. 1), with a = 5.9366 Å, b = 5.9404 Å, c = 7.1460 Å, α = 113.27°, β = 113.17° and γ = 91.10°. The distinct sites, in fractional coordinates, are In at (0.0000, 0.0000, 0.0000), In at (0.2319, 0.7432, 0.4908), Fe at (0.4901, 0.5170, 0.0053), Te at (0.6235, 0.1703, 0.7264), Se at (0.1162, 0.5930, 0.7511), Se at (0.3990, 0.3779, 0.2512) and Se at (0.8365, 0.8801, 0.2538).

12.
Crystalline MgNbFeAs at its relaxed geometry. Source: OQMD via LeMat-Bulk, functional PBE.

Its polymorph energy (0 for the lowest one) is 0 meV per atom. The calculation puts the raw total energy at -93.86 eV for the cell shown.

It has space group F-43m (No. 216), with a = 6.2659 Å, b = 6.2659 Å, c = 6.2659 Å, α = 90.00°, β = 90.00° and γ = 90.00°. The distinct sites, in fractional coordinates, are Mg at (0.0000, 0.0000, 0.0000), Nb at (0.2500, 0.2500, 0.2500), Fe at (0.2500, 0.2500, 0.7500) and As at (0.0000, 0.0000, 0.5000).